<i>
BaSiP2Cl (PBE-GGA, optimized geometry); SG = P4/mmm (123)
1.0
4.576 0.000 0.000
0.000 4.576 0.000
0.000 0.000 5.668
Ba Si P Cl
1 1 2 1
Cartesian
0.000 0.000 0.000
2.288 2.288 2.834
0.000 2.288 2.834
2.288 0.000 2.834
2.288 2.288 0.000



<ii>
BaSiP2Cl (PBE-GGA, optimized geometry); SG = P4/mmm (123)
1.0
6.274 0.000 0.000
0.000 6.274 0.000
0.000 0.000 5.740
Ba Si P Cl
1 1 2 1
Cartesian
0.000 0.000 0.000
3.137 3.137 2.870
0.000 3.137 0.000
3.137 0.000 0.000
0.000 0.000 2.870



In terms of stability, <i> leads; the second structure lies 149.8 kJ/mol of atoms higher.



<i>
BaSiPCl2 (PBE-GGA, optimized geometry); SG = P4/mmm (123)
1.0
5.821 0.000 0.000
0.000 5.821 0.000
0.000 0.000 6.556
Ba Si P Cl
1 1 1 2
Cartesian
0.000 0.000 0.000
2.910 2.910 3.278
0.000 0.000 3.278
0.000 2.910 0.000
2.910 0.000 0.000



<ii>
BaSiPCl2 (PBE-GGA, optimized geometry); SG = P4/mmm (123)
1.0
5.191 0.000 0.000
0.000 5.191 0.000
0.000 0.000 4.631
Ba Si P Cl
1 1 1 2
Cartesian
0.000 0.000 0.000
2.595 2.595 2.316
2.595 2.595 0.000
0.000 2.595 2.316
2.595 0.000 2.316



In terms of stability, <ii> leads; the second structure lies 94.2 kJ/mol of atoms higher.



<i>
BaSrP2Cl (PBE-GGA, optimized geometry); SG = P4/mmm (123)
1.0
5.490 0.000 0.000
0.000 5.490 0.000
0.000 0.000 5.578
Ba Sr P Cl
1 1 2 1
Cartesian
0.000 0.000 0.000
2.745 2.745 2.789
0.000 2.745 2.789
2.745 0.000 2.789
2.745 2.745 0.000



<ii>
BaSrP2Cl (PBE-GGA, optimized geometry); SG = P4/mmm (123)
1.0
5.557 0.000 0.000
0.000 5.557 0.000
0.000 0.000 5.783
Ba Sr P Cl
1 1 2 1
Cartesian
0.000 0.000 0.000
2.778 2.778 2.891
0.000 2.778 0.000
2.778 0.000 0.000
0.000 0.000 2.891



In terms of stability, <i> leads; the second structure lies 25.5 kJ/mol of atoms higher.



<i>
BaSrPCl (PBE-GGA, optimized geometry); SG = R3m (160)
1.0
2.273 1.312 7.474
-2.273 1.312 7.474
0.000 -2.624 7.474
Ba Sr P Cl
1 1 1 1
Cartesian
0.000 0.000 0.000
0.000 0.000 10.748
0.000 0.000 16.686
0.000 0.000 5.258



<ii>
BaSrPCl (PBE-GGA, optimized geometry); SG = F-43m (216)
1.0
0.000 3.845 3.845
3.845 0.000 3.845
3.845 3.845 0.000
Ba Sr P Cl
1 1 1 1
Cartesian
0.000 0.000 0.000
3.845 3.845 3.845
5.768 5.768 5.768
1.923 1.923 1.923



In terms of stability, <i> leads; the second structure lies 16.7 kJ/mol of atoms higher.